Density functional theory data (GGA+U) for KZnCrO4 after structural relaxation.

abc: 5.7000 5.7000 5.7000
angles: 121.06 121.06 88.17
With the nearest neighbours (Å) after each atom.
Fractional coordinates of all 7 atoms:
K  0.0000  0.0000  0.0000  4 O 2.72
Zn  0.5000  0.5000  0.0000  4 O 1.97
Cr  0.2500  0.7500  0.5000  4 O 1.73
O  0.2602  0.6480  0.1633  1 Cr 1.73
O  0.3520  0.5154  0.6122  1 Cr 1.73
O  0.4846  0.0968  0.8367  1 Cr 1.73
O  0.9032  0.7398  0.3878  1 Cr 1.73

Summary:
Space group: I-4
DFT total energy, eV per cell: -40.202